Record 1
The following is a PBE calculation of a relaxed PRhW2 crystal, from Alexandria.

The calculation puts the formation energy at -181 meV per atom. The calculation puts the total energy at -9.8475 eV per atom.

It has space group P4/mmm (No. 123), with a = 2.900 Å, b = 2.900 Å, c = 6.797 Å, α = 90.00°, β = 90.00° and γ = 90.00°. The distinct sites, in fractional coordinates, are P at (0.000, 0.000, 0.000), Rh at (0.000, 0.000, 0.500) and W at (0.500, 0.500, 0.223).

=====

Record 2
The following is a PBE calculation of a relaxed PRh3W crystal, from Alexandria.

The calculation puts the formation energy at 1394 meV per atom. As for the energy above the most stable polymorph in this dataset: 0.843 eV/atom. The calculation puts the total energy at -6.6892 eV per atom.

It has space group Pm-3m (No. 221), with a = 4.691 Å, b = 4.691 Å, c = 4.691 Å, α = 90.00°, β = 90.00° and γ = 90.00°. The distinct sites, in fractional coordinates, are P at (0.000, 0.000, 0.000), Rh at (0.000, 0.500, 0.500) and W at (0.500, 0.500, 0.500).

=====

Record 3
The following is a PBE calculation of a relaxed P2Rh2W crystal, from Alexandria.

The calculation puts the formation energy at -184 meV per atom. The calculation puts the total energy at -7.8791 eV per atom.

It has space group P4/mbm (No. 127), with a = 6.935 Å, b = 6.935 Å, c = 2.859 Å, α = 90.00°, β = 90.00° and γ = 90.00°. The distinct sites, in fractional coordinates, are P at (0.161, 0.339, 0.000), Rh at (0.145, 0.645, 0.500) and W at (0.000, 0.000, 0.000).

=====

Record 4
The following is a PBE calculation of a relaxed P2RhW crystal, from Alexandria.

The calculation puts the formation energy at -51 meV per atom. The calculation puts the total energy at -7.8320 eV per atom.

It has space group Imm2 (No. 44), with a = 3.061 Å, b = 4.004 Å, c = 9.271 Å, α = 90.00°, β = 90.00° and γ = 90.00°. The distinct sites, in fractional coordinates, are P at (0.000, 0.000, 0.000), P at (0.000, 0.500, 0.219), Rh at (0.000, 0.500, 0.719) and W at (0.000, 0.000, 0.497).

=====

Record 5
The following is a PBE calculation of a relaxed P2RhW crystal, from Alexandria.

The calculation puts the formation energy at -296 meV per atom. The calculation puts the total energy at -8.0771 eV per atom.

It has space group Pmm2 (No. 25), with a = 3.004 Å, b = 4.538 Å, c = 4.124 Å, α = 90.00°, β = 90.00° and γ = 90.00°. The distinct sites, in fractional coordinates, are P at (0.000, 0.000, 0.000), P at (0.500, 0.500, 0.276), Rh at (0.000, 0.500, 0.772) and W at (0.500, 0.000, 0.510).

=====

Record 6
The following is a PBE calculation of a relaxed P2RhW crystal, from Alexandria.

The calculation puts the formation energy at -23 meV per atom. The calculation puts the total energy at -7.8043 eV per atom.

It has space group I-42d (No. 122), with a = 5.414 Å, b = 5.414 Å, c = 10.336 Å, α = 90.00°, β = 90.00° and γ = 90.00°. The distinct sites, in fractional coordinates, are P at (0.241, 0.250, 0.125), Rh at (0.000, 0.000, 0.000) and W at (0.000, 0.000, 0.500).